(1)
# PBE-GGA ScInAg2Ir, relaxed
# Calculated formation energy = 1.303 eV per atom
# Raw total energy = -3.424 eV per atom
# Theoretical density = 6.4 g/cm3
data_ScInAg2Ir
_cell_length_a 5.152
_cell_length_b 5.152
_cell_length_c 5.578
_cell_angle_alpha 90.00
_cell_angle_beta 90.00
_cell_angle_gamma 90.00
_space_group_name_H-M_alt 'P 4/m m m'
_space_group_IT_number 123
_space_group_name_Hall '-P 4 2'
loop_
_atom_site_label
_atom_site_type_symbol
_atom_site_fract_x
_atom_site_fract_y
_atom_site_fract_z
Sc1 Sc 0.000 0.000 0.000
In1 In 0.000 0.000 0.500
Ag1 Ag 0.000 0.500 0.500
Ir1 Ir 0.500 0.500 0.000

=====

(2)
# PBE-GGA TaCoTc, relaxed
# Energy above the lowest structure with this stoichiometry = 465 meV/atom
# Calculated formation energy = 0.367 eV per atom
# Raw total energy = -9.408 eV per atom
# Theoretical density = 11.6 g/cm3
data_TaCoTc
_cell_length_a 5.790
_cell_length_b 5.790
_cell_length_c 5.790
_cell_angle_alpha 90.00
_cell_angle_beta 90.00
_cell_angle_gamma 90.00
_space_group_name_H-M_alt 'F -4 3 m'
_space_group_IT_number 216
_space_group_name_Hall 'F -4 2 3'
loop_
_atom_site_label
_atom_site_type_symbol
_atom_site_fract_x
_atom_site_fract_y
_atom_site_fract_z
Ta1 Ta 0.000 0.000 0.000
Co1 Co 0.250 0.250 0.250
Tc1 Tc 0.000 0.000 0.500

=====

(3)
# PBE-GGA Y3Cu, relaxed
# Calculated formation energy = -0.092 eV per atom
# Raw total energy = -5.964 eV per atom
# Theoretical density = 5.1 g/cm3
data_Y3Cu
_cell_length_a 3.507
_cell_length_b 3.507
_cell_length_c 8.776
_cell_angle_alpha 90.00
_cell_angle_beta 90.00
_cell_angle_gamma 90.00
_space_group_name_H-M_alt 'P 4/m m m'
_space_group_IT_number 123
_space_group_name_Hall '-P 4 2'
loop_
_atom_site_label
_atom_site_type_symbol
_atom_site_fract_x
_atom_site_fract_y
_atom_site_fract_z
Y1 Y 0.000 0.000 0.000
Y2 Y 0.500 0.500 0.303
Cu1 Cu 0.000 0.000 0.500

=====

(4)
# PBE-GGA SrCoIr2, relaxed
# Energy above the lowest structure with this stoichiometry = 619 meV/atom
# Calculated formation energy = 0.547 eV per atom
# Raw total energy = -6.080 eV per atom
# Theoretical density = 12.9 g/cm3
data_SrCoIr2
_cell_length_a 2.928
_cell_length_b 4.801
_cell_length_c 4.853
_cell_angle_alpha 90.00
_cell_angle_beta 90.00
_cell_angle_gamma 90.00
_space_group_name_H-M_alt 'P m m m'
_space_group_IT_number 47
_space_group_name_Hall '-P 2 2'
loop_
_atom_site_label
_atom_site_type_symbol
_atom_site_fract_x
_atom_site_fract_y
_atom_site_fract_z
Sr1 Sr 0.000 0.000 0.000
Co1 Co 0.500 0.500 0.000
Ir1 Ir 0.000 0.500 0.500
Ir2 Ir 0.500 0.000 0.500

=====

(5)
# PBE-GGA HoEr5, relaxed
# Calculated formation energy = 0.022 eV per atom
# Raw total energy = -4.543 eV per atom
# Theoretical density = 9.1 g/cm3
data_HoEr5
_cell_length_a 4.951
_cell_length_b 14.867
_cell_length_c 4.943
_cell_angle_alpha 90.00
_cell_angle_beta 90.00
_cell_angle_gamma 90.00
_space_group_name_H-M_alt 'C m m m'
_space_group_IT_number 65
_space_group_name_Hall '-C 2 2'
loop_
_atom_site_label
_atom_site_type_symbol
_atom_site_fract_x
_atom_site_fract_y
_atom_site_fract_z
Ho1 Ho 0.000 0.000 0.000
Er1 Er 0.000 0.167 0.500
Er2 Er 0.000 0.333 0.000
Er3 Er 0.000 0.500 0.500

=====

(6)
# PBE-GGA P3C, relaxed
# Energy above the lowest structure with this stoichiometry = 115 meV/atom
# Calculated formation energy = 0.523 eV per atom
# Raw total energy = -5.840 eV per atom
# Theoretical density = 2.8 g/cm3
data_P3C
_cell_length_a 8.913
_cell_length_b 2.725
_cell_length_c 6.184
_cell_angle_alpha 90.00
_cell_angle_beta 123.12
_cell_angle_gamma 90.00
_space_group_name_H-M_alt 'C 1 m 1'
_space_group_IT_number 8
_space_group_name_Hall 'C -2y'
loop_
_atom_site_label
_atom_site_type_symbol
_atom_site_fract_x
_atom_site_fract_y
_atom_site_fract_z
P1 P 0.000 0.000 0.000
P2 P 0.126 0.500 0.548
P3 P 0.299 0.000 0.257
C1 C 0.148 0.000 0.373

=====

(7)
# PBE-GGA Ga8CuTc2, relaxed
# Calculated formation energy = -0.002 eV per atom
# Raw total energy = -4.460 eV per atom
# Theoretical density = 7.1 g/cm3
data_Ga8CuTc2
_cell_length_a 12.390
_cell_length_b 6.607
_cell_length_c 4.991
_cell_angle_alpha 90.00
_cell_angle_beta 109.87
_cell_angle_gamma 90.00
_space_group_name_H-M_alt 'C 1 2/m 1'
_space_group_IT_number 12
_space_group_name_Hall '-C 2y'
loop_
_atom_site_label
_atom_site_type_symbol
_atom_site_fract_x
_atom_site_fract_y
_atom_site_fract_z
Ga1 Ga 0.089 0.216 0.331
Ga2 Ga 0.105 0.000 0.812
Ga3 Ga 0.179 0.500 0.846
Cu1 Cu 0.000 0.500 0.000
Tc1 Tc 0.229 0.500 0.392

=====

(8)
# PBE-GGA Ca3Cd5, relaxed
# Energy above the lowest structure with this stoichiometry = 115 meV/atom
# Calculated formation energy = -0.188 eV per atom
# Raw total energy = -1.511 eV per atom
# Theoretical density = 5.1 g/cm3
data_Ca3Cd5
_cell_length_a 6.065
_cell_length_b 16.958
_cell_length_c 17.133
_cell_angle_alpha 90.00
_cell_angle_beta 90.00
_cell_angle_gamma 90.00
_space_group_name_H-M_alt 'F m m 2'
_space_group_IT_number 42
_space_group_name_Hall 'F 2 -2'
loop_
_atom_site_label
_atom_site_type_symbol
_atom_site_fract_x
_atom_site_fract_y
_atom_site_fract_z
Ca1 Ca 0.000 0.000 0.000
Ca2 Ca 0.000 0.000 0.351
Ca3 Ca 0.000 0.175 0.676
Ca4 Ca 0.250 0.250 0.425
Cd1 Cd 0.000 0.091 0.837
Cd2 Cd 0.000 0.092 0.514
Cd3 Cd 0.000 0.161 0.266
Cd4 Cd 0.000 0.162 0.084
Cd5 Cd 0.250 0.000 0.176